Version i
First-principles (PBE) data for a geometry-optimized Tl2Se2Br structure, as listed in the Alexandria database.

a b c (Å): 4.003 4.003 9.868
angles (deg): 78.30 78.30 90.00
Element x y z (fractional)
Tl: 0.395 0.395 0.209
Tl: 0.605 0.605 0.791
Se: 0.750 0.250 0.500
Se: 0.250 0.750 0.500
Br: 0.000 0.000 0.000



Version ii
First-principles (PBE) data for a geometry-optimized Tl2Se2Br structure, as listed in the Alexandria database.

a b c (Å): 8.400 8.400 3.804
angles (deg): 90.00 90.00 90.00
Element x y z (fractional)
Tl: 0.330 0.830 0.000
Tl: 0.830 0.670 0.000
Tl: 0.670 0.170 0.000
Tl: 0.170 0.330 0.000
Se: 0.137 0.637 0.500
Se: 0.637 0.863 0.500
Se: 0.863 0.363 0.500
Se: 0.363 0.137 0.500
Br: 0.000 0.000 0.000
Br: 0.500 0.500 0.000



Looking at the structures above, which would you pick as the most stable? I would pick version i.